Computed, not measured: a relaxed structure of MoPt3 at the PBE-GGA level of DFT.

Lattice parameters (Å, degrees): 4.843 4.843 4.843 90.00 90.00 90.00
Fractional coordinates of all 4 atoms:
1 Mo 0.000 0.000 0.000
2 Pt 0.000 0.000 0.500
3 Pt 0.000 0.500 0.000
4 Pt 0.500 0.000 0.000

## Properties
ΔH_f (0 K) ... 1497 meV/atom
DFT total energy ... -23.0 eV for the cell shown
Space group ... Pm-3m (221)

***

Computed, not measured: a relaxed structure of Cs2Rb2Na15 at the PBE-GGA level of DFT.

Lattice parameters (Å, degrees): 9.764 9.764 9.764 83.25 83.25 83.25
Fractional coordinates of all 19 atoms:
1 Cs 0.150 0.150 0.150
2 Cs 0.850 0.850 0.850
3 Rb 0.394 0.394 0.394
4 Rb 0.606 0.606 0.606
5 Na 0.000 0.500 0.500
6 Na 0.151 0.151 0.664
7 Na 0.151 0.664 0.151
8 Na 0.191 0.500 0.809
9 Na 0.191 0.809 0.500
10 Na 0.336 0.849 0.849
11 Na 0.500 0.000 0.500
12 Na 0.500 0.191 0.809
13 Na 0.500 0.500 0.000
14 Na 0.500 0.809 0.191
15 Na 0.664 0.151 0.151
16 Na 0.809 0.191 0.500
17 Na 0.809 0.500 0.191
18 Na 0.849 0.336 0.849
19 Na 0.849 0.849 0.336

## Properties
ΔH_f (0 K) ... 27 meV/atom
DFT total energy ... -22.9 eV for the cell shown
Space group ... R-3m (166)